1.
Compound: KSmF4
Source: Alexandria
Functional: GGA-PBEsol
Structure: optimized geometry

abc: 6.119 3.654 15.414
angles: 90.00 90.00 90.00
Space group Pnma (No. 62)
Inequivalent atoms, fractional coordinates:
K: 0.221 0.250 0.203
Sm: 0.248 0.750 0.440
F: 0.005 0.250 0.058
F: 0.093 0.250 0.809
F: 0.103 0.250 0.367
F: 0.136 0.250 0.536

Properties
Crystal system = orthorhombic
ρ = 5116 kg/m³
Spin magnetization = 0.058 μB per formula unit
Energy relative to the elements, uncorrected = -86.32 kcal/mol of atoms
Final energy = -145.58 eV/cell

2.
Compound: Li2CuP
Source: Alexandria
Functional: GGA-PBEsol
Structure: optimized geometry

abc: 3.9636 3.9636 7.6941
angles: 90.00 90.00 120.00
Space group P6_3/mmc (No. 194)
Inequivalent atoms, fractional coordinates:
Li: 0.3333 0.6667 0.0839
Cu: 0.0000 0.0000 0.2500
P: 0.3333 0.6667 0.7500

Properties
E_form = -2.28 eV/f.u.
Crystal system = hexagonal
ρ = 3439 kg/m³
Spin magnetization = 0.000 μB per formula unit
Final energy = -32.68 eV/cell

3.
Compound: TlReSb2
Source: Alexandria
Functional: GGA-PBEsol
Structure: optimized geometry

abc: 3.263 3.356 17.813
angles: 90.00 90.00 90.00
Space group Imm2 (No. 44)
Inequivalent atoms, fractional coordinates:
Tl: 0.000 0.000 0.000
Re: 0.000 0.500 0.265
Sb: 0.000 0.000 0.647
Sb: 0.000 0.500 0.842

Properties
Excess energy over the best structure of this formula in the dataset = 0 kJ/mol of formula units
Crystal system = orthorhombic
ρ = 10796 kg/m³
Spin magnetization = 0.000 μB per formula unit
Energy relative to the elements, uncorrected = 7.92 kcal/mol of atoms
Final energy = -47.41 eV/cell

Question: Which value of spin magnetization does entry 1 give?
Answer: 0.058 μB per formula unit

Question: The highest final energy belongs to which entry?
Answer: Li2CuP

Question: Among the records above, which one has the highest ρ?
Answer: TlReSb2